Entry from the Alexandria database: a relaxed K2HgSe2 crystal (PBE).

Formation energy without anion corrections, eV per atom: -0.53

Unit cell a=10.0687 b=10.0687 c=3.0031 alpha=90.00 beta=90.00 gamma=90.00
With the nearest neighbours (Å) after each atom.
Sites, in units of the cell vectors:
Se 0.6574 0.8426 0.5000  2 Se 3.00, 6 K 3.27-3.34
K 0.8616 0.6384 0.0000  2 K 3.00, 6 Se 3.27-3.34
Hg 0.0000 0.0000 0.0000  2 Hg 3.00
Se 0.1574 0.6574 0.5000  2 Se 3.00, 6 K 3.27-3.34
K 0.1384 0.3616 0.0000  2 K 3.00, 6 Se 3.27-3.34
Hg 0.5000 0.5000 0.0000  2 Hg 3.00
K 0.3616 0.8616 0.0000  2 K 3.00, 6 Se 3.27-3.34
Se 0.3426 0.1574 0.5000  2 Se 3.00, 6 K 3.27-3.34
K 0.6384 0.1384 0.0000  2 K 3.00, 6 Se 3.27-3.34
Se 0.8426 0.3426 0.5000  2 Se 3.00, 6 K 3.27-3.34

Entry from the Alexandria database: a relaxed TbNdIr crystal (PBE).

E above lowest polymorph, kJ/mol of formula units: 11
DFT formation energy, eV per atom: -0.558

Unit cell a=3.8441 b=7.2137 c=7.0686 alpha=114.33 beta=90.00 gamma=105.45
With the nearest neighbours (Å) after each atom.
Sites, in units of the cell vectors:
Nd 0.5119 0.0238 0.1471  3 Ir 2.86-2.99
Ir 0.6109 0.2218 0.8452  4 Tb 2.80-2.88, 3 Nd 2.99-3.05, 1 Ir 3.01
Ir 0.8458 0.6915 0.9586  4 Nd 2.86-2.92, 3 Tb 2.96-2.98, 1 Ir 3.01
Tb 0.2462 0.4923 0.1446  4 Ir 2.88-2.98
Nd 0.2121 0.4242 0.6469  4 Ir 2.92-3.05
Tb 0.9502 0.9005 0.6708  3 Ir 2.80-2.96

Entry from the Alexandria database: a relaxed Ba2LiCaHg6 crystal (PBE).

DFT formation energy, eV per atom: -0.327

Unit cell a=7.9989 b=7.9847 c=7.9315 alpha=57.68 beta=57.70 gamma=90.36
With the nearest neighbours (Å) after each atom.
Sites, in units of the cell vectors:
Hg 0.6653 0.6665 0.4772  1 Li 2.62
Ba 0.7824 0.2184 0.5001  8 Hg 3.58-3.97
Hg 0.7687 0.2301 0.0010  1 Li 2.62
Hg 0.2314 0.2323 0.0031  1 Li 2.63
Hg 0.2313 0.7699 0.9990  1 Li 2.62
Hg 0.7686 0.7677 0.9969  1 Li 2.63
Hg 0.3347 0.3335 0.5228  1 Li 2.62
Li 0.0000 0.0000 0.0000  6 Hg 2.62-2.63
Ba 0.2176 0.7816 0.4999  8 Hg 3.58-3.97
Ca 0.5000 0.5000 0.0000  6 Hg 2.99-3.05